1.
Below is a geometry-optimized Nd2AlAgS5 structure, with properties calculated at the PBE level.

Geometry as POSCAR:
```
Nd2AlAgS5
1.0
-2.484 0.001 -3.002
-4.474 -4.685 6.229
-4.659 9.576 3.856
S Nd Al Ag
10 4 2 2
Direct
0.320 0.640 0.355
0.503 0.006 0.779
0.959 0.917 0.557
0.497 0.994 0.279
0.680 0.360 0.855
0.369 0.737 0.996
0.708 0.417 0.179
0.631 0.263 0.496
0.292 0.583 0.679
0.041 0.083 0.057
0.874 0.748 0.799
0.119 0.238 0.682
0.126 0.252 0.299
0.881 0.762 0.182
0.432 0.864 0.453
0.568 0.136 0.953
0.774 0.548 0.523
0.226 0.452 0.023
```

Summary:
Calculated volume in Å³ per atom: 21.51
Crystal system: orthorhombic

=====

2.
Below is a geometry-optimized NdHfSb2 structure, with properties calculated at the PBE level.

Geometry as POSCAR:
```
NdHfSb2
1.0
4.286 0.000 0.000
2.143 3.712 0.000
2.143 1.237 7.089
Hf Nd Sb
1 1 2
Direct
0.000 0.000 0.000
0.500 0.500 0.500
0.741 0.741 0.777
0.259 0.259 0.223
```

Summary:
Calculated volume in Å³ per atom: 28.19
Crystal system: trigonal
Excess energy over the best structure of this formula in the dataset in eV/f.u.: 0.00

=====

3.
Below is a geometry-optimized RbLiU2Se5 structure, with properties calculated at the PBE level.

Geometry as POSCAR:
```
RbLiU2Se5
1.0
7.894 0.000 0.000
0.000 7.894 0.000
-3.947 -3.947 7.522
Se Rb Li U
10 2 2 4
Direct
0.733 0.233 0.758
0.267 0.767 0.242
0.475 0.267 0.242
0.000 0.000 0.000
0.233 0.025 0.758
0.975 0.475 0.242
0.500 0.500 0.000
0.025 0.525 0.758
0.525 0.733 0.758
0.767 0.975 0.242
0.250 0.250 0.500
0.750 0.750 0.500
0.250 0.750 0.500
0.750 0.250 0.500
0.160 0.340 0.000
0.340 0.840 0.000
0.840 0.660 0.000
0.660 0.160 0.000
```

Summary:
Calculated volume in Å³ per atom: 26.04
Crystal system: tetragonal

=====

4.
Below is a geometry-optimized K2AlIn structure, with properties calculated at the PBE level.

Geometry as POSCAR:
```
K2AlIn
1.0
-5.696 -0.624 0.957
-0.261 -1.859 -2.768
1.024 -7.297 1.335
K Al In
2 1 1
Direct
0.000 0.499 0.496
0.000 0.001 0.004
0.500 0.250 0.250
0.500 0.750 0.750
```

Summary:
Calculated volume in Å³ per atom: 33.59
Crystal system: monoclinic
Excess energy over the best structure of this formula in the dataset in eV/f.u.: 1.08
Formation enthalpy at 0 K in eV/atom: 0.282

=====

5.
Below is a geometry-optimized SrZnIn structure, with properties calculated at the PBE level.

Geometry as POSCAR:
```
SrZnIn
1.0
6.570 0.053 -0.058
5.504 3.589 -0.049
1.066 0.313 3.521
In Sr Zn
1 1 1
Direct
0.025 0.025 0.975
0.324 0.324 0.676
0.650 0.650 0.350
```

Summary:
Calculated volume in Å³ per atom: 27.41
Crystal system: tetragonal
Formation enthalpy at 0 K in eV/atom: -0.217

=====

6.
Below is a geometry-optimized LaErAgPd structure, with properties calculated at the PBE level.

Geometry as POSCAR:
```
LaErAgPd
1.0
5.167 0.000 0.000
2.584 4.475 0.000
2.584 1.492 4.219
Pd Er Ag La
1 1 1 1
Direct
0.750 0.750 0.750
0.000 0.000 0.000
0.250 0.250 0.250
0.500 0.500 0.500
```

Summary:
Calculated volume in Å³ per atom: 24.39
Crystal system: cubic
Formation enthalpy at 0 K in eV/atom: -0.537

=====

7.
Below is a geometry-optimized CrGaRh6 structure, with properties calculated at the PBE level.

Geometry as POSCAR:
```
CrGaRh6
1.0
-0.893 -3.615 0.819
1.565 0.396 3.454
-6.743 2.298 2.793
Rh Ga Cr
6 1 1
Direct
0.500 0.500 0.500
0.000 0.500 0.742
0.500 0.500 0.000
0.500 0.000 0.258
0.000 0.500 0.258
0.500 0.000 0.742
0.000 0.000 0.000
0.000 0.000 0.500
```

Summary:
Calculated volume in Å³ per atom: 13.90
Crystal system: tetragonal
Formation enthalpy at 0 K in eV/atom: -0.234

=====

8.
Below is a geometry-optimized CaTaH2Se structure, with properties calculated at the PBE level.

Geometry as POSCAR:
```
CaTaH2Se
1.0
4.339 0.000 0.000
0.000 4.339 0.000
0.000 0.000 4.953
H Se Ca Ta
2 1 1 1
Direct
0.500 0.000 0.000
0.000 0.500 0.000
0.000 0.000 0.000
0.500 0.500 0.500
0.000 0.000 0.500
```

Summary:
Calculated volume in Å³ per atom: 18.65
Crystal system: tetragonal

=====

9.
Below is a geometry-optimized SrTlSnW2 structure, with properties calculated at the PBE level.

Geometry as POSCAR:
```
SrTlSnW2
1.0
-3.952 -0.699 -3.215
3.656 0.083 -4.512
0.589 -5.094 0.383
W Tl Sn Sr
2 1 1 1
Direct
0.500 0.000 0.000
0.000 0.000 0.500
0.500 0.500 0.500
0.000 0.500 0.000
0.000 0.000 0.000
```

Summary:
Calculated volume in Å³ per atom: 30.71
Crystal system: tetragonal
Formation enthalpy at 0 K in eV/atom: 2.847

=====

10.
Below is a geometry-optimized PaSi3Ru2 structure, with properties calculated at the PBE level.

Geometry as POSCAR:
```
PaSi3Ru2
1.0
5.589 0.000 0.000
0.000 5.888 0.455
0.000 -1.514 5.709
Si Ru Pa
6 4 2
Direct
0.750 0.441 0.126
0.250 0.874 0.559
0.750 0.126 0.441
0.250 0.559 0.874
0.250 0.973 0.973
0.750 0.027 0.027
0.000 0.220 0.780
0.000 0.780 0.220
0.500 0.780 0.220
0.500 0.220 0.780
0.750 0.656 0.656
0.250 0.344 0.344
```

Summary:
Calculated volume in Å³ per atom: 15.98
Crystal system: orthorhombic

=====

11.
Below is a geometry-optimized YZn5Co2 structure, with properties calculated at the PBE level.

Geometry as POSCAR:
```
YZn5Co2
1.0
-1.505 3.543 -0.368
-3.981 0.894 4.576
2.713 3.686 4.079
Zn Y Co
5 1 2
Direct
0.340 0.844 0.477
0.660 0.523 0.156
0.340 0.477 0.844
0.660 0.156 0.523
0.000 0.500 0.500
0.000 0.000 0.000
0.262 0.238 0.238
0.738 0.762 0.762
```

Summary:
Calculated volume in Å³ per atom: 15.96
Crystal system: orthorhombic
Formation enthalpy at 0 K in eV/atom: -0.128

=====

12.
Below is a geometry-optimized La4TmAs5 structure, with properties calculated at the PBE level.

Geometry as POSCAR:
```
La4TmAs5
1.0
5.510 0.000 2.658
2.755 6.821 1.329
-0.208 0.000 7.473
As Tm La
5 1 4
Direct
0.904 0.388 0.806
0.710 0.194 0.388
0.098 0.612 0.194
0.501 0.000 0.000
0.292 0.806 0.612
0.001 0.000 0.000
0.202 0.201 0.397
0.800 0.799 0.603
0.403 0.397 0.799
0.599 0.603 0.201
```

Summary:
Calculated volume in Å³ per atom: 28.46
Crystal system: tetragonal
Formation enthalpy at 0 K in eV/atom: -1.538

=====

13.
Below is a geometry-optimized LiAc3Rh8 structure, with properties calculated at the PBE level.

Geometry as POSCAR:
```
LiAc3Rh8
1.0
-5.222 0.620 1.500
-1.283 0.505 5.292
-1.294 9.281 1.627
Rh Li Ac
8 1 3
Direct
0.436 0.436 0.189
0.939 0.441 0.681
0.939 0.436 0.189
0.188 0.188 0.435
0.436 0.939 0.189
0.688 0.688 0.935
0.441 0.939 0.681
0.939 0.939 0.681
0.868 0.868 0.397
0.377 0.377 0.868
0.991 0.991 0.027
0.507 0.507 0.478
```

Summary:
Calculated volume in Å³ per atom: 19.36
Crystal system: trigonal
Formation enthalpy at 0 K in eV/atom: -0.460

=====

14.
Below is a geometry-optimized Rb3Tl6Hg2 structure, with properties calculated at the PBE level.

Geometry as POSCAR:
```
Rb3Tl6Hg2
1.0
4.987 0.000 -0.886
-0.158 4.985 -0.886
0.375 0.387 16.582
Tl Hg Rb
6 2 3
Direct
0.395 0.895 0.790
0.330 0.330 0.660
0.670 0.670 0.340
0.105 0.605 0.210
0.895 0.395 0.790
0.605 0.105 0.210
0.546 0.546 0.093
0.454 0.454 0.907
0.796 0.796 0.593
0.204 0.204 0.407
0.000 0.000 0.000
```

Summary:
Calculated volume in Å³ per atom: 37.79
Crystal system: tetragonal
Formation enthalpy at 0 K in eV/atom: -0.094

=====

15.
Below is a geometry-optimized Pr2Hg2Bi structure, with properties calculated at the PBE level.

Geometry as POSCAR:
```
Pr2Hg2Bi
1.0
-2.630 -5.665 5.634
1.619 -4.492 6.925
-1.909 0.054 6.234
Hg Pr Bi
2 2 1
Direct
0.394 0.394 0.540
0.606 0.606 0.460
0.691 0.691 0.835
0.309 0.309 0.165
0.000 0.000 0.000
```

Summary:
Calculated volume in Å³ per atom: 31.78
Crystal system: monoclinic
Formation enthalpy at 0 K in eV/atom: -0.476

=====

16.
Below is a geometry-optimized Co2SnHgRh structure, with properties calculated at the PBE level.

Geometry as POSCAR:
```
Co2SnHgRh
1.0
4.723 0.000 0.000
0.000 5.245 0.000
0.000 0.000 4.723
Rh Co Sn Hg
1 2 1 1
Direct
0.500 0.500 0.500
0.500 0.000 0.000
0.000 0.000 0.500
0.000 0.500 0.000
0.000 0.000 0.000
```

Summary:
Calculated volume in Å³ per atom: 23.40
Crystal system: tetragonal
Formation enthalpy at 0 K in eV/atom: 1.657

=====

17.
Below is a geometry-optimized Fe2ReRu structure, with properties calculated at the PBE level.

Geometry as POSCAR:
```
Fe2ReRu
1.0
-4.537 0.418 -2.023
-3.108 -3.854 0.580
2.735 3.475 2.302
Fe Ru Re
2 1 1
Direct
0.504 0.504 0.000
0.996 0.996 0.000
0.250 0.750 0.500
0.750 0.250 0.500
```

Summary:
Calculated volume in Å³ per atom: 13.39
Crystal system: orthorhombic
Formation enthalpy at 0 K in eV/atom: 0.213

=====

18.
Below is a geometry-optimized LiZn3N structure, with properties calculated at the PBE level.

Geometry as POSCAR:
```
LiZn3N
1.0
4.198 0.000 0.000
0.000 4.198 0.000
0.000 0.000 4.198
Zn Li N
3 1 1
Direct
0.500 0.000 0.000
0.000 0.000 0.500
0.000 0.500 0.000
0.500 0.500 0.500
0.000 0.000 0.000
```

Summary:
Calculated volume in Å³ per atom: 14.80
Crystal system: cubic
Excess energy over the best structure of this formula in the dataset in eV/f.u.: 0.00

=====

19.
Below is a geometry-optimized Ce6GeP5 structure, with properties calculated at the PBE level.

Geometry as POSCAR:
```
Ce6GeP5
1.0
7.041 0.172 1.070
1.730 5.974 3.483
0.118 0.064 7.126
Ge Ce P
1 6 5
Direct
0.000 0.000 0.000
0.747 0.745 0.000
0.253 0.255 0.000
0.253 0.916 0.661
0.747 0.084 0.339
0.747 0.424 0.661
0.253 0.576 0.339
0.500 0.165 0.669
0.000 0.333 0.333
0.500 0.835 0.331
0.500 0.500 0.000
0.000 0.667 0.667
```

Summary:
Calculated volume in Å³ per atom: 24.63
Crystal system: monoclinic
Formation enthalpy at 0 K in eV/atom: -1.353

=====

20.
Below is a geometry-optimized FeRe2Ag structure, with properties calculated at the PBE level.

Geometry as POSCAR:
```
FeRe2Ag
1.0
-0.480 1.687 2.124
-2.669 -0.680 -0.063
1.385 -5.898 4.998
Re Fe Ag
2 1 1
Direct
0.000 0.000 0.992
0.500 0.500 0.230
0.500 0.500 0.767
0.000 0.000 0.511
```

Summary:
Calculated volume in Å³ per atom: 14.90
Crystal system: tetragonal
Excess energy over the best structure of this formula in the dataset in eV/f.u.: 0.41
Formation enthalpy at 0 K in eV/atom: 0.389

=====

21.
Below is a geometry-optimized TbTiSb2 structure, with properties calculated at the PBE level.

Geometry as POSCAR:
```
TbTiSb2
1.0
4.160 0.000 0.000
2.080 3.603 0.000
2.080 1.201 6.863
Sb Tb Ti
2 1 1
Direct
0.740 0.740 0.780
0.260 0.260 0.220
0.500 0.500 0.500
0.000 0.000 0.000
```

Summary:
Calculated volume in Å³ per atom: 25.71
Crystal system: trigonal

=====

22.
Below is a geometry-optimized Li2Ag6Au structure, with properties calculated at the PBE level.

Geometry as POSCAR:
```
Li2Ag6Au
1.0
7.404 0.437 0.253
0.828 4.914 -0.440
0.828 2.067 4.480
Li Ag Au
2 6 1
Direct
0.076 0.325 0.325
0.924 0.675 0.675
0.503 0.247 0.247
0.497 0.753 0.753
0.294 0.795 0.307
0.294 0.307 0.795
0.706 0.693 0.205
0.706 0.205 0.693
0.000 0.000 0.000
```

Summary:
Calculated volume in Å³ per atom: 18.59
Crystal system: monoclinic
Excess energy over the best structure of this formula in the dataset in eV/f.u.: 0.90
Formation enthalpy at 0 K in eV/atom: -0.064

=====

Number 1: DFT total energy -5.51 eV/atom. Number 2: DFT total energy -6.52 eV/atom. Number 3: DFT total energy -5.99 eV/atom. Number 4: DFT total energy -1.89 eV/atom. Number 5: DFT total energy -2.11 eV/atom. Number 6: DFT total energy -4.92 eV/atom. Number 7: DFT total energy -7.33 eV/atom. Number 8: DFT total energy -3.89 eV/atom. Number 9: DFT total energy -3.94 eV/atom. Number 10: DFT total energy -7.96 eV/atom. Number 11: DFT total energy -3.51 eV/atom. Number 12: DFT total energy -6.28 eV/atom. Number 13: DFT total energy -6.55 eV/atom. Number 14: DFT total energy -1.70 eV/atom. Number 15: DFT total energy -3.28 eV/atom. Number 16: DFT total energy -3.52 eV/atom. Number 17: DFT total energy -9.45 eV/atom. Number 18: DFT total energy -2.43 eV/atom. Number 19: DFT total energy -6.96 eV/atom. Number 20: DFT total energy -8.66 eV/atom. Number 21: DFT total energy -5.90 eV/atom. Number 22: DFT total energy -2.75 eV/atom.